Material: CrSbRh
Method: DFT, PBE-GGA
State: optimized geometry

For the uncorrected formation energy, the calculation gives 0.0236 eV/atom. As for the space group: P-6m2 (187). The final energy is -21.0 eV for the cell shown. As for the crystal system: hexagonal.

Lattice parameters (Å, degrees): 4.4331 4.4331 3.0859 90.00 90.00 120.00
With the nearest neighbours (Å) after each atom.
Sites, in units of the cell vectors:
Cr (0.0000, 0.0000, 0.9999)  6 Sb 2.99, 6 Rh 2.99, 2 Cr 3.09
Rh (0.3333, 0.6667, 0.4997)  3 Sb 2.56
Sb (0.6667, 0.3333, 0.5003)  3 Rh 2.56

***

Material: Ag2SbPbAu4
Method: DFT, PBE-GGA
State: optimized geometry

For the uncorrected formation energy, the calculation gives 0.0343 eV/atom. As for the space group: R-3m (166). The final energy is -26.4 eV for the cell shown. As for the crystal system: trigonal.

Lattice parameters (Å, degrees): 4.8195 4.8195 8.6568 73.84 73.84 60.00
With the nearest neighbours (Å) after each atom.
Sites, in units of the cell vectors:
Ag (0.7480, 0.7480, 0.7561)  8 Au 2.90-3.18
Ag (0.2520, 0.2520, 0.2439)  8 Au 2.90-3.18
Sb (0.5000, 0.5000, 0.5000)  8 Au 2.92-2.96
Pb (0.0000, 0.0000, 0.0000)  8 Au 3.02-3.09
Au (0.3812, 0.3812, 0.8563)  4 Ag 2.90-3.18, 1 Sb 2.92, 3 Pb 3.02
Au (0.8742, 0.8742, 0.3774)  3 Sb 2.96, 4 Ag 2.99-3.10, 1 Pb 3.09
Au (0.1258, 0.1258, 0.6226)  3 Sb 2.96, 4 Ag 2.99-3.10, 1 Pb 3.09
Au (0.6188, 0.6188, 0.1437)  4 Ag 2.90-3.18, 1 Sb 2.92, 3 Pb 3.02